[1]
First-principles (PBE) data for a relaxed structure of CaAl2Os, as listed in Alexandria.

Cell lengths 5.9283, 5.9283, 5.9283 Å; angles 42.75, 42.75, 42.75 degrees
Atoms (fractional coordinates):
Ca (0.0000, 0.0000, 0.0000)
Al (0.5344, 0.5344, 0.5344)
Al (0.8074, 0.8074, 0.8074)
Os (0.1859, 0.1859, 0.1859)

Output
The calculation puts the final energy at -5.4210 eV per atom. For the energy of formation, the calculation gives -0.24 eV/atom. As for the density of states at the Fermi level: 2.01 states/eV per cell. The volume is 87.0 Å³ per cell. As for the symmetry: R3m, No. 160.


[2]
First-principles (PBE) data for a relaxed structure of CaAlOs2, as listed in Alexandria.

Cell lengths 5.8437, 5.8437, 6.8310 Å; angles 98.02, 98.02, 42.73 degrees
Atoms (fractional coordinates):
Ca (0.0502, 0.0502, 0.2393)
Ca (0.9498, 0.9498, 0.7607)
Al (0.2327, 0.2327, 0.6693)
Al (0.7673, 0.7673, 0.3307)
Os (0.2951, 0.2951, 0.0698)
Os (0.3935, 0.3935, 0.4232)
Os (0.6065, 0.6065, 0.5768)
Os (0.7049, 0.7049, 0.9302)

Output
The calculation puts the final energy at -7.1828 eV per atom. For the energy of formation, the calculation gives -0.13 eV/atom. As for the density of states at the Fermi level: 4.14 states/eV per cell. The volume is 156.5 Å³ per cell. As for the symmetry: C2/m, No. 12.


[3]
First-principles (PBE) data for a relaxed structure of CaAlOs, as listed in Alexandria.

Cell lengths 4.4911, 4.4911, 4.4911 Å; angles 60.00, 60.00, 60.00 degrees
Atoms (fractional coordinates):
Ca (0.0000, 0.0000, 0.0000)
Al (0.5000, 0.5000, 0.5000)
Os (0.2500, 0.2500, 0.2500)

Output
The calculation puts the final energy at -5.2686 eV per atom. For the energy of formation, the calculation gives 0.39 eV/atom. As for the density of states at the Fermi level: 3.23 states/eV per cell. The volume is 64.1 Å³ per cell. As for the symmetry: F-43m, No. 216.


[4]
First-principles (PBE) data for a relaxed structure of CaAlOs2, as listed in Alexandria.

Cell lengths 6.0547, 6.0547, 7.1395 Å; angles 114.40, 114.40, 41.63 degrees
Atoms (fractional coordinates):
Ca (0.0000, 0.0000, 0.0000)
Ca (0.6671, 0.6671, 0.4398)
Al (0.7766, 0.7766, 0.1213)
Al (0.9671, 0.9671, 0.5345)
Os (0.2333, 0.2333, 0.8646)
Os (0.3570, 0.3570, 0.3004)
Os (0.3615, 0.3615, 0.6623)
Os (0.5948, 0.5948, 0.7680)

Output
The calculation puts the final energy at -7.0565 eV per atom. For the energy of formation, the calculation gives -0.01 eV/atom. As for the density of states at the Fermi level: 5.87 states/eV per cell. The volume is 156.0 Å³ per cell. As for the symmetry: Cm, No. 8.


Q: What is the energy of formation in the third record?
A: 0.39 eV/atom